VASP calculation (GGA-PBE) on BaAl2CdAu4 after structural relaxation.

Geometry as CIF:
```
data_BaAl2CdAu4
_chemical_formula_sum 'Ba3 Al6 Cd3 Au12'
_cell_length_a 4.4532
_cell_length_b 4.4532
_cell_length_c 31.7348
_cell_angle_alpha 90.00
_cell_angle_beta 90.00
_cell_angle_gamma 120.00
_symmetry_space_group_name_H-M 'R -3 m'
_symmetry_Int_Tables_number 166
_symmetry_space_group_name_Hall '-R 3 2"'
loop_
_atom_site_label
_atom_site_fract_x
_atom_site_fract_y
_atom_site_fract_z
Ba1 0.0000 0.0000 0.0000
Al1 0.0000 0.0000 0.2404
Cd1 0.0000 0.0000 0.5000
Au1 0.0000 0.0000 0.1198
Au2 0.0000 0.0000 0.4059
```

## Properties
Total energy (eV per formula unit): -26.81
Total moment (μB per cell): 0.00
Energy of formation (eV per atom): -0.4220



VASP calculation (GGA-PBE) on BaAlCdAu2 after structural relaxation.

Geometry as CIF:
```
data_BaAlCdAu2
_chemical_formula_sum 'Ba1 Al1 Cd1 Au2'
_cell_length_a 5.096
_cell_length_b 5.096
_cell_length_c 5.235
_cell_angle_alpha 90.00
_cell_angle_beta 90.00
_cell_angle_gamma 90.00
_symmetry_space_group_name_H-M 'P 4/m m m'
_symmetry_Int_Tables_number 123
_symmetry_space_group_name_Hall '-P 4 2'
loop_
_atom_site_label
_atom_site_fract_x
_atom_site_fract_y
_atom_site_fract_z
Ba1 0.000 0.000 0.000
Al1 0.500 0.500 0.500
Cd1 0.500 0.500 0.000
Au1 0.000 0.500 0.500
```

## Properties
Energy above the most stable polymorph in this dataset (kJ per mole of atoms): 14.4
Total energy (eV per formula unit): -14.92
Total moment (μB per cell): 0.00
Energy of formation (eV per atom): -0.3563



VASP calculation (GGA-PBE) on BaAlCd2Au4 after structural relaxation.

Geometry as CIF:
```
data_BaAlCd2Au4
_chemical_formula_sum 'Ba3 Al3 Cd6 Au12'
_cell_length_a 4.7079
_cell_length_b 4.7079
_cell_length_c 29.0508
_cell_angle_alpha 90.00
_cell_angle_beta 90.00
_cell_angle_gamma 120.00
_symmetry_space_group_name_H-M 'R -3 m'
_symmetry_Int_Tables_number 166
_symmetry_space_group_name_Hall '-R 3 2"'
loop_
_atom_site_label
_atom_site_fract_x
_atom_site_fract_y
_atom_site_fract_z
Ba1 0.0000 0.0000 0.0000
Al1 0.0000 0.0000 0.5000
Cd1 0.0000 0.0000 0.2421
Au1 0.0000 0.0000 0.1414
Au2 0.0000 0.0000 0.4068
```

## Properties
Total energy (eV per formula unit): -23.53
Total moment (μB per cell): 0.00
Energy of formation (eV per atom): -0.3656



VASP calculation (GGA-PBE) on Ba2Al3CdAu12 after structural relaxation.

Geometry as CIF:
```
data_Ba2Al3CdAu12
_chemical_formula_sum 'Ba6 Al9 Cd3 Au36'
_cell_length_a 8.8363
_cell_length_b 8.8363
_cell_length_c 20.4949
_cell_angle_alpha 90.00
_cell_angle_beta 90.00
_cell_angle_gamma 120.00
_symmetry_space_group_name_H-M 'R -3 m'
_symmetry_Int_Tables_number 166
_symmetry_space_group_name_Hall '-R 3 2"'
loop_
_atom_site_label
_atom_site_fract_x
_atom_site_fract_y
_atom_site_fract_z
Ba1 0.0000 0.0000 0.1127
Al1 0.0000 0.5000 0.0000
Cd1 0.0000 0.0000 0.5000
Au1 0.0023 0.5012 0.8778
Au2 0.0245 0.5122 0.3580
```

## Properties
Total energy (eV per formula unit): -58.64
Total moment (μB per cell): 0.00
Energy of formation (eV per atom): -0.1846